1.
First-principles (GGA-PBE) data for NaInGaBr2 after structural relaxation, as listed in Alexandria via LeMat-Bulk.

```
NaInGaBr2
1.0
5.982 0.000 0.000
0.000 5.982 0.000
0.000 0.000 5.261
Na In Ga Br
1 1 1 2
Direct
0.000 0.000 0.000 Na
0.500 0.500 0.500 In
0.500 0.500 0.000 Ga
0.000 0.500 0.500 Br
0.500 0.000 0.500 Br
```

The energy relative to the elements, uncorrected is -38.1 kJ/mol of atoms.

***

2.
First-principles (GGA-PBE) data for YTlRh4 after structural relaxation, as listed in Alexandria via LeMat-Bulk.

```
YTlRh4
1.0
0.000 3.757 3.757
3.757 0.000 3.757
3.757 3.757 0.000
Y Tl Rh
1 1 4
Direct
0.000 0.000 0.000 Y
0.250 0.250 0.250 Tl
0.126 0.625 0.625 Rh
0.625 0.126 0.625 Rh
0.625 0.625 0.126 Rh
0.625 0.625 0.625 Rh
```

The formation energy is -354 meV/atom.

***

3.
First-principles (GGA-PBE) data for Tb3Al after structural relaxation, as listed in Alexandria via LeMat-Bulk.

```
Tb3Al
1.0
7.587 0.000 0.000
0.000 7.587 0.000
0.000 0.000 7.587
Tb Al
12 4
Direct
0.000 0.000 0.000 Tb
0.000 0.500 0.500 Tb
0.250 0.250 0.250 Tb
0.250 0.250 0.750 Tb
0.250 0.750 0.250 Tb
0.250 0.750 0.750 Tb
0.500 0.000 0.500 Tb
0.500 0.500 0.000 Tb
0.750 0.250 0.250 Tb
0.750 0.250 0.750 Tb
0.750 0.750 0.250 Tb
0.750 0.750 0.750 Tb
0.000 0.000 0.500 Al
0.000 0.500 0.000 Al
0.500 0.000 0.000 Al
0.500 0.500 0.500 Al
```

The formation energy is -41 meV/atom.

***

4.
First-principles (GGA-PBE) data for RbCS3 after structural relaxation, as listed in Alexandria via LeMat-Bulk.

```
RbCS3
1.0
6.627 0.000 0.000
0.000 5.496 0.000
-2.252 0.000 8.914
Rb C S
2 2 6
Direct
0.173 0.250 0.271 Rb
0.827 0.750 0.729 Rb
0.233 0.250 0.735 C
0.767 0.750 0.265 C
0.105 0.250 0.870 S
0.310 0.004 0.646 S
0.310 0.496 0.646 S
0.690 0.504 0.354 S
0.690 0.996 0.354 S
0.895 0.750 0.130 S
```

The energy above the most stable polymorph in this dataset is 0.000 eV/atom. The energy relative to the elements, uncorrected is -17.1 kJ/mol of atoms.

***

5.
First-principles (GGA-PBE) data for Li2CoGe2 after structural relaxation, as listed in Alexandria via LeMat-Bulk.

```
Li2CoGe2
1.0
-2.782 5.525 2.658
2.782 -5.525 2.658
2.782 5.525 -2.658
Li Co Ge
4 2 4
Direct
0.175 0.240 0.415 Li
0.325 0.740 0.066 Li
0.675 0.260 0.934 Li
0.825 0.760 0.585 Li
0.250 0.250 0.000 Co
0.750 0.750 0.000 Co
0.077 0.698 0.775 Ge
0.423 0.198 0.622 Ge
0.577 0.802 0.378 Ge
0.923 0.302 0.225 Ge
```

The energy above the most stable polymorph in this dataset is 0.000 eV/atom. The formation energy is -230 meV/atom.

***

6.
First-principles (GGA-PBE) data for KHfPb3 after structural relaxation, as listed in Alexandria via LeMat-Bulk.

```
KHfPb3
1.0
5.699 0.000 0.000
0.000 5.699 0.000
0.000 0.000 5.699
K Hf Pb
1 1 3
Direct
0.000 0.000 0.000 K
0.500 0.500 0.500 Hf
0.000 0.500 0.500 Pb
0.500 0.000 0.500 Pb
0.500 0.500 0.000 Pb
```

The energy above the most stable polymorph in this dataset is 0.000 eV/atom. The formation energy is 56 meV/atom.

***

7.
First-principles (GGA-PBE) data for ReSiB2Ir after structural relaxation, as listed in Alexandria via LeMat-Bulk.

```
ReSiB2Ir
1.0
3.890 0.000 0.000
0.000 3.890 0.000
0.000 0.000 5.402
Re Si B Ir
1 1 2 1
Direct
0.000 0.000 0.000 Re
0.500 0.500 0.000 Si
0.000 0.500 0.500 B
0.500 0.000 0.500 B
0.000 0.000 0.500 Ir
```

The energy relative to the elements, uncorrected is 119.0 kJ/mol of atoms.